DFT (GGA-PBE) results for a geometry-optimized Mn5Ir4 structure.

```
18
Lattice="7.3665 0.0000 0.0000 -3.6832 6.3796 0.0000 0.0000 0.0000 5.2706" Properties=species:S:1:pos:R:3 pbc="T T T"
Mn -1.1980 2.0750 1.3177
Mn -2.4852 4.3045 3.9530
Mn 2.3960 0.0000 1.3177
Mn 1.1980 2.0750 3.9530
Mn 0.0000 4.2530 0.0000
Mn 0.0000 4.2530 2.6353
Mn 3.6832 2.1265 0.0000
Mn 3.6832 2.1265 2.6353
Mn 4.9705 0.0000 3.9530
Mn 2.4852 4.3045 1.3177
Ir 0.0000 0.0000 0.0000
Ir 0.0000 0.0000 2.6353
Ir -1.2646 2.1904 3.9530
Ir -2.4186 4.1892 1.3177
Ir 2.5292 0.0000 3.9530
Ir 1.2646 2.1904 1.3177
Ir 4.8372 0.0000 1.3177
Ir 2.4186 4.1892 3.9530
```

Results
Magnetization   2.78 μB per formula unit
Excess energy over the best structure of this formula in the dataset   71.5 meV per atom
Energy relative to the elements   -0.055 eV per atom